Entry 1:
Nb2In2Ga: relaxed, PBE.

abc: 3.108 3.108 23.546
angles: 90.00 90.00 120.00
Fractional coordinates of all 10 atoms:
Ga (0.000, 0.000, 0.250)
Ga (0.000, 0.000, 0.750)
In (0.333, 0.667, 0.056)
In (0.333, 0.667, 0.444)
In (0.667, 0.333, 0.556)
In (0.667, 0.333, 0.944)
Nb (0.667, 0.333, 0.158)
Nb (0.667, 0.333, 0.342)
Nb (0.333, 0.667, 0.658)
Nb (0.333, 0.667, 0.842)

* crystal system: hexagonal

Entry 2:
Nb2InGaPt2: relaxed, PBE.

abc: 10.693 4.363 10.707
angles: 90.00 109.49 90.00
Fractional coordinates of all 24 atoms:
Ga (0.751, 0.000, 0.002)
Ga (0.125, 0.500, 0.126)
Ga (0.498, 0.000, 0.249)
Ga (0.250, 0.000, 0.497)
In (0.875, 0.500, 0.373)
In (0.624, 0.500, 0.626)
In (0.002, 0.000, 0.753)
In (0.375, 0.500, 0.876)
Nb (0.251, 0.000, 0.005)
Nb (0.623, 0.500, 0.125)
Nb (0.002, 0.000, 0.250)
Nb (0.372, 0.500, 0.372)
Nb (0.746, 0.000, 0.496)
Nb (0.127, 0.500, 0.621)
Nb (0.502, 0.000, 0.750)
Nb (0.878, 0.500, 0.882)
Pt (0.002, 0.000, 0.008)
Pt (0.373, 0.500, 0.130)
Pt (0.743, 0.000, 0.243)
Pt (0.129, 0.500, 0.374)
Pt (0.493, 0.000, 0.493)
Pt (0.874, 0.500, 0.624)
Pt (0.252, 0.000, 0.742)
Pt (0.632, 0.500, 0.882)

* crystal system: monoclinic

Entry 3:
Nd2In5Ga: relaxed, PBE.

abc: 5.071 6.846 6.846
angles: 59.34 90.00 90.00
Fractional coordinates of all 8 atoms:
Ga (0.000, 0.847, 0.847)
In (0.500, 0.690, 0.153)
In (0.500, 0.157, 0.157)
In (0.000, 0.840, 0.310)
In (0.500, 0.153, 0.690)
In (0.000, 0.310, 0.840)
Nd (0.000, 0.331, 0.331)
Nd (0.500, 0.672, 0.672)

* crystal system: orthorhombic

Entry 4:
NdInGa2: relaxed, PBE.

abc: 4.756 6.657 6.657
angles: 120.22 90.00 90.00
Fractional coordinates of all 8 atoms:
Ga (0.750, 0.291, 0.152)
Ga (0.750, 0.863, 0.160)
Ga (0.250, 0.152, 0.291)
Ga (0.250, 0.160, 0.863)
In (0.750, 0.854, 0.698)
In (0.250, 0.698, 0.854)
Nd (0.250, 0.660, 0.323)
Nd (0.750, 0.323, 0.660)

* energy relative to the lowest polymorph listed for this composition: 3.2 meV per atom
* crystal system: orthorhombic

Entry 5:
Nd5InGa2: relaxed, PBE.

abc: 9.366 9.366 9.366
angles: 129.70 129.70 73.89
Fractional coordinates of all 16 atoms:
Ga (0.881, 0.381, 0.263)
Ga (0.381, 0.119, 0.500)
Ga (0.619, 0.881, 0.500)
Ga (0.119, 0.619, 0.737)
In (0.250, 0.250, 0.000)
In (0.750, 0.750, 0.000)
Nd (0.000, 0.000, 0.000)
Nd (0.500, 0.500, 0.000)
Nd (0.184, 0.684, 0.157)
Nd (0.474, 0.974, 0.157)
Nd (0.026, 0.184, 0.500)
Nd (0.316, 0.474, 0.500)
Nd (0.684, 0.526, 0.500)
Nd (0.974, 0.816, 0.500)
Nd (0.526, 0.026, 0.843)
Nd (0.816, 0.316, 0.843)

* crystal system: tetragonal

Entry 6:
Nd2InGa2: relaxed, PBE.

abc: 7.441 7.441 4.546
angles: 90.00 90.00 90.00
Fractional coordinates of all 10 atoms:
Ga (0.624, 0.124, 0.000)
Ga (0.124, 0.376, 0.000)
Ga (0.876, 0.624, 0.000)
Ga (0.376, 0.876, 0.000)
In (0.000, 0.000, 0.000)
In (0.500, 0.500, 0.000)
Nd (0.326, 0.174, 0.500)
Nd (0.826, 0.326, 0.500)
Nd (0.174, 0.674, 0.500)
Nd (0.674, 0.826, 0.500)

* crystal system: tetragonal

Entry 7:
NdInGa2: relaxed, PBE.

abc: 4.748 6.683 6.683
angles: 59.07 90.00 90.00
Fractional coordinates of all 8 atoms:
Ga (0.000, 0.148, 0.148)
Ga (0.500, 0.861, 0.288)
Ga (0.500, 0.854, 0.854)
Ga (0.500, 0.288, 0.861)
In (0.000, 0.696, 0.161)
In (0.000, 0.161, 0.696)
Nd (0.500, 0.323, 0.323)
Nd (0.000, 0.670, 0.670)

* energy relative to the lowest polymorph listed for this composition: 0.0 meV per atom
* crystal system: orthorhombic

Entry 8:
Nd2In3Ga3: relaxed, PBE.

abc: 6.702 6.702 4.875
angles: 90.00 90.00 120.00
Fractional coordinates of all 8 atoms:
Ga (0.521, 0.042, 0.000)
Ga (0.521, 0.479, 0.000)
Ga (0.958, 0.479, 0.000)
In (0.359, 0.180, 0.500)
In (0.820, 0.180, 0.500)
In (0.820, 0.641, 0.500)
Nd (0.000, 0.000, 0.000)
Nd (0.333, 0.667, 0.500)

* energy relative to the lowest polymorph listed for this composition: 6.2 meV per atom
* crystal system: hexagonal

Entry 9:
NdIn2Ga: relaxed, PBE.

abc: 4.971 6.756 6.756
angles: 60.36 90.00 90.00
Fractional coordinates of all 8 atoms:
Ga (0.500, 0.700, 0.144)
Ga (0.500, 0.144, 0.700)
In (0.500, 0.151, 0.151)
In (0.000, 0.841, 0.311)
In (0.000, 0.311, 0.841)
In (0.000, 0.847, 0.847)
Nd (0.000, 0.338, 0.338)
Nd (0.500, 0.666, 0.666)

* crystal system: orthorhombic

Entry 10:
Nd2In3Ga3: relaxed, PBE.

abc: 6.585 4.882 6.698
angles: 90.00 118.85 90.00
Fractional coordinates of all 8 atoms:
Ga (0.297, 0.500, 0.146)
Ga (0.153, 0.000, 0.300)
Ga (0.858, 0.500, 0.701)
In (0.851, 0.500, 0.153)
In (0.691, 0.000, 0.851)
In (0.160, 0.000, 0.856)
Nd (0.663, 0.000, 0.347)
Nd (0.327, 0.500, 0.646)

* energy relative to the lowest polymorph listed for this composition: 0.0 meV per atom
* crystal system: monoclinic

Entry 11:
NdInGaSe3: relaxed, PBE.

abc: 7.156 7.156 11.279
angles: 90.00 90.00 142.28
Fractional coordinates of all 12 atoms:
Ga (0.482, 0.518, 0.250)
Ga (0.518, 0.482, 0.750)
In (0.746, 0.254, 0.250)
In (0.254, 0.746, 0.750)
Nd (0.000, 0.000, 0.000)
Nd (0.000, 0.000, 0.500)
Se (0.368, 0.632, 0.072)
Se (0.070, 0.930, 0.250)
Se (0.368, 0.632, 0.428)
Se (0.632, 0.368, 0.572)
Se (0.930, 0.070, 0.750)
Se (0.632, 0.368, 0.928)

* crystal system: orthorhombic

Entry 12:
TbNd2Zn3InGa2: relaxed, PBE.

abc: 4.459 7.190 7.190
angles: 119.72 90.00 90.00
Fractional coordinates of all 9 atoms:
Ga (0.500, 0.662, 0.336)
Ga (0.500, 0.336, 0.662)
In (0.000, 0.005, 0.005)
Nd (0.000, 0.999, 0.560)
Nd (0.000, 0.560, 0.999)
Tb (0.000, 0.440, 0.440)
Zn (0.500, 0.252, 0.001)
Zn (0.500, 0.001, 0.252)
Zn (0.500, 0.746, 0.746)

* crystal system: orthorhombic

Entry 13:
InGa2Ni: relaxed, PBE.

abc: 4.635 4.635 4.635
angles: 60.00 60.00 60.00
Fractional coordinates of all 4 atoms:
Ga (0.000, 0.000, 0.000)
Ga (0.250, 0.250, 0.250)
In (0.500, 0.500, 0.500)
Ni (0.750, 0.750, 0.750)

* crystal system: cubic

Entry 14:
Pr3InGaNi4: relaxed, PBE.

abc: 5.529 5.529 8.576
angles: 96.78 96.78 44.99
Fractional coordinates of all 9 atoms:
Ga (0.324, 0.324, 0.721)
In (0.675, 0.675, 0.284)
Ni (0.071, 0.071, 0.113)
Ni (0.277, 0.277, 0.436)
Ni (0.744, 0.744, 0.595)
Ni (0.914, 0.914, 0.859)
Pr (0.370, 0.370, 0.116)
Pr (0.002, 0.002, 0.502)
Pr (0.622, 0.622, 0.874)

* crystal system: monoclinic

Entry 15:
Zr2InGaNi4: relaxed, PBE.

abc: 4.214 4.214 8.089
angles: 90.00 90.00 120.00
Fractional coordinates of all 8 atoms:
Ga (0.000, 0.000, 0.500)
In (0.000, 0.000, 0.000)
Ni (0.667, 0.333, 0.094)
Ni (0.667, 0.333, 0.415)
Ni (0.333, 0.667, 0.585)
Ni (0.333, 0.667, 0.906)
Zr (0.333, 0.667, 0.256)
Zr (0.667, 0.333, 0.744)

* crystal system: trigonal

Entry 16:
Zn2InGaO5: relaxed, PBE.

abc: 8.823 8.823 23.137
angles: 104.26 104.26 21.64
Fractional coordinates of all 54 atoms:
Ga (0.937, 0.937, 0.141)
Ga (0.749, 0.749, 0.250)
Ga (0.012, 0.012, 0.369)
Ga (0.654, 0.654, 0.633)
Ga (0.251, 0.251, 0.751)
Ga (0.734, 0.734, 0.868)
In (0.001, 0.001, 0.000)
In (0.337, 0.337, 0.007)
In (0.169, 0.169, 0.497)
In (0.833, 0.833, 0.502)
In (0.499, 0.499, 0.503)
In (0.664, 0.664, 0.996)
O (0.236, 0.236, 0.045)
O (0.573, 0.573, 0.046)
O (0.908, 0.908, 0.054)
O (0.384, 0.384, 0.147)
O (0.048, 0.048, 0.153)
O (0.720, 0.720, 0.160)
O (0.965, 0.965, 0.237)
O (0.303, 0.303, 0.251)
O (0.644, 0.644, 0.256)
O (0.783, 0.783, 0.341)
O (0.106, 0.106, 0.346)
O (0.456, 0.456, 0.348)
O (0.706, 0.706, 0.450)
O (0.039, 0.039, 0.452)
O (0.374, 0.374, 0.454)
O (0.292, 0.292, 0.548)
O (0.628, 0.628, 0.548)
O (0.962, 0.962, 0.549)
O (0.558, 0.558, 0.653)
O (0.209, 0.209, 0.653)
O (0.887, 0.887, 0.655)
O (0.352, 0.352, 0.745)
O (0.700, 0.700, 0.748)
O (0.030, 0.030, 0.755)
O (0.276, 0.276, 0.844)
O (0.945, 0.945, 0.845)
O (0.626, 0.626, 0.848)
O (0.094, 0.094, 0.949)
O (0.767, 0.767, 0.952)
O (0.426, 0.426, 0.956)
Zn (0.263, 0.263, 0.134)
Zn (0.601, 0.601, 0.134)
Zn (0.082, 0.082, 0.248)
Zn (0.415, 0.415, 0.250)
Zn (0.675, 0.675, 0.359)
Zn (0.342, 0.342, 0.366)
Zn (0.327, 0.327, 0.638)
Zn (0.991, 0.991, 0.639)
Zn (0.916, 0.916, 0.750)
Zn (0.584, 0.584, 0.751)
Zn (0.063, 0.063, 0.858)
Zn (0.404, 0.404, 0.868)

* energy relative to the lowest polymorph listed for this composition: 12.8 meV per atom
* crystal system: monoclinic

Number 1: E_tot -56.60 eV for the cell shown. Number 2: E_tot -164.17 eV for the cell shown. Number 3: E_tot -29.66 eV for the cell shown. Number 4: E_tot -30.98 eV for the cell shown. Number 5: E_tot -72.15 eV for the cell shown. Number 6: E_tot -42.80 eV for the cell shown. Number 7: E_tot -31.01 eV for the cell shown. Number 8: E_tot -30.45 eV for the cell shown. Number 9: E_tot -30.02 eV for the cell shown. Number 10: E_tot -30.50 eV for the cell shown. Number 11: E_tot -52.96 eV for the cell shown. Number 12: E_tot -31.16 eV for the cell shown. Number 13: E_tot -13.82 eV for the cell shown. Number 14: E_tot -46.20 eV for the cell shown. Number 15: E_tot -48.92 eV for the cell shown. Number 16: E_tot -283.74 eV for the cell shown.